[1]
! PBEsol Al2Ag, relaxed; values from VASP
! Theoretical density (g cm⁻³): 5.5
! Energy relative to the elements (kJ per mole of atoms): -3.2
! Space-group type: P2_1/m
&SYSTEM
  ibrav = 0, nat = 12, ntyp = 2
/
ATOMIC_SPECIES
Al 26.98 Al.upf
Ag 107.87 Ag.upf
CELL_PARAMETERS angstrom
7.994 0.000 0.000
0.000 2.855 0.000
-0.021 0.000 8.539
ATOMIC_POSITIONS crystal
Al 0.121 0.250 0.408
Al 0.371 0.750 0.914
Al 0.372 0.750 0.579
Al 0.374 0.750 0.248
Al 0.626 0.250 0.752
Al 0.628 0.250 0.421
Al 0.629 0.250 0.086
Al 0.879 0.750 0.592
Ag 0.129 0.250 0.740
Ag 0.133 0.250 0.081
Ag 0.867 0.750 0.919
Ag 0.871 0.750 0.260

[2]
! PBEsol Li2TePb, relaxed; values from VASP
! Theoretical density (g cm⁻³): 6.0
! Space-group type: R3m
! Raw formation energy (meV/atom): -513
&SYSTEM
  ibrav = 0, nat = 4, ntyp = 3
/
ATOMIC_SPECIES
Li 6.94 Li.upf
Te 127.60 Te.upf
Pb 207.20 Pb.upf
CELL_PARAMETERS angstrom
2.141 1.236 6.124
-2.141 1.236 6.124
0.000 -2.472 6.124
ATOMIC_POSITIONS crystal
Li 0.000 0.000 0.000
Li 0.207 0.207 0.207
Te 0.605 0.605 0.605
Pb 0.771 0.771 0.771

[3]
! PBEsol Zn2HI, relaxed; values from VASP
! Theoretical density (g cm⁻³): 5.9
! Space-group type: Fm-3m
&SYSTEM
  ibrav = 0, nat = 4, ntyp = 3
/
ATOMIC_SPECIES
Zn 65.41 Zn.upf
H 1.01 H.upf
I 126.90 I.upf
CELL_PARAMETERS angstrom
0.000 3.323 3.323
3.323 0.000 3.323
3.323 3.323 0.000
ATOMIC_POSITIONS crystal
Zn 0.250 0.250 0.250
Zn 0.750 0.750 0.750
H 0.000 0.000 0.000
I 0.500 0.500 0.500

[4]
! PBEsol SrPtBr2, relaxed; values from VASP
! Theoretical density (g cm⁻³): 6.6
! Space-group type: I-42d
! Raw formation energy (meV/atom): -733
&SYSTEM
  ibrav = 0, nat = 8, ntyp = 3
/
ATOMIC_SPECIES
Sr 87.62 Sr.upf
Pt 195.08 Pt.upf
Br 79.90 Br.upf
CELL_PARAMETERS angstrom
-2.564 2.564 8.450
2.564 -2.564 8.450
2.564 2.564 -8.450
ATOMIC_POSITIONS crystal
Sr 0.000 0.000 0.000
Sr 0.750 0.250 0.500
Pt 0.250 0.750 0.500
Pt 0.500 0.500 0.000
Br 0.180 0.625 0.055
Br 0.375 0.430 0.555
Br 0.570 0.125 0.945
Br 0.875 0.820 0.445

[5]
! PBEsol TaSbW3, relaxed; values from VASP
! Theoretical density (g cm⁻³): 13.2
! Space-group type: Pm-3m
! Raw formation energy (meV/atom): 2612
&SYSTEM
  ibrav = 0, nat = 5, ntyp = 3
/
ATOMIC_SPECIES
Ta 180.95 Ta.upf
Sb 121.76 Sb.upf
W 183.84 W.upf
CELL_PARAMETERS angstrom
4.751 0.000 0.000
0.000 4.751 0.000
0.000 0.000 4.751
ATOMIC_POSITIONS crystal
Ta 0.000 0.000 0.000
Sb 0.500 0.500 0.500
W 0.000 0.500 0.500
W 0.500 0.000 0.500
W 0.500 0.500 0.000

[6]
! PBEsol CrCdIr3, relaxed; values from VASP
! Theoretical density (g cm⁻³): 11.4
! Energy relative to the elements (kJ per mole of atoms): 252.0
! Space-group type: Pm-3m
&SYSTEM
  ibrav = 0, nat = 5, ntyp = 3
/
ATOMIC_SPECIES
Cr 52.00 Cr.upf
Cd 112.41 Cd.upf
Ir 192.22 Ir.upf
CELL_PARAMETERS angstrom
4.759 0.000 0.000
0.000 4.759 0.000
0.000 0.000 4.759
ATOMIC_POSITIONS crystal
Cr 0.000 0.000 0.000
Cd 0.500 0.500 0.500
Ir 0.000 0.500 0.500
Ir 0.500 0.000 0.500
Ir 0.500 0.500 0.000

no.,E_tot (eV per atom)
1,-3.864
2,-3.378
3,-1.376
4,-3.869
5,-9.094
6,-5.570